[1]
VASP calculation (GGA-PBE) on La2Zn3 after structural relaxation.

- Total energy: -15.0 eV per cell
- Crystal system: trigonal
- Space-group type: No. 166

```
La2Zn3
1.0
2.422 1.398 6.059
-2.422 1.398 6.059
0.000 -2.797 6.059
La Zn
2 3
direct
0.088 0.088 0.088 La
0.912 0.912 0.912 La
0.332 0.332 0.332 Zn
0.500 0.500 0.500 Zn
0.668 0.668 0.668 Zn
```

[2]
VASP calculation (GGA-PBE) on La3Zn after structural relaxation.

- Total energy: -16.2 eV per cell
- Crystal system: orthorhombic
- Space-group type: No. 65

```
La3Zn
1.0
3.728 -4.455 0.000
3.728 4.455 0.000
0.000 0.000 3.720
La Zn
3 1
direct
0.000 0.000 0.000 La
0.000 0.500 0.500 La
0.500 0.000 0.500 La
0.500 0.500 0.000 Zn
```

[3]
VASP calculation (GGA-PBE) on LaZn2 after structural relaxation.

- Total energy: -7.8 eV per cell
- Crystal system: orthorhombic
- Space-group type: No. 71

```
LaZn2
1.0
-1.727 2.275 4.492
1.727 -2.275 4.492
1.727 2.275 -4.492
La Zn
1 2
direct
0.000 0.000 0.000 La
0.338 0.338 0.000 Zn
0.662 0.662 0.000 Zn
```

[4]
VASP calculation (GGA-PBE) on LaZn after structural relaxation.

- Total energy: -25.6 eV per cell
- Crystal system: tetragonal
- Space-group type: No. 139

```
LaZn
1.0
-5.160 5.160 1.896
5.160 -5.160 1.896
5.160 5.160 -1.896
La Zn
4 4
direct
0.154 0.154 0.309 La
0.154 0.846 0.000 La
0.846 0.154 0.000 La
0.846 0.846 0.691 La
0.137 0.500 0.637 Zn
0.500 0.137 0.637 Zn
0.500 0.863 0.363 Zn
0.863 0.500 0.363 Zn
```

[5]
VASP calculation (GGA-PBE) on La2Zn after structural relaxation.

- Total energy: -34.9 eV per cell
- Crystal system: hexagonal
- Space-group type: No. 189

```
La2Zn
1.0
8.203 0.000 0.000
-4.101 7.104 0.000
0.000 0.000 4.661
La Zn
6 3
direct
0.000 0.274 0.000 La
0.000 0.600 0.500 La
0.274 0.000 0.000 La
0.400 0.400 0.500 La
0.600 0.000 0.500 La
0.726 0.726 0.000 La
0.000 0.000 0.500 Zn
0.333 0.667 0.000 Zn
0.667 0.333 0.000 Zn
```

[6]
VASP calculation (GGA-PBE) on La3Zn2 after structural relaxation.

- Offset from the most stable computed form: 100 meV per atom
- Total energy: -36.2 eV per cell
- Crystal system: orthorhombic
- Space-group type: No. 43

```
La3Zn2
1.0
0.000 7.910 3.210
5.541 0.000 3.210
5.541 7.910 0.000
La Zn
6 4
direct
0.000 0.000 0.000 La
0.250 0.250 0.250 La
0.471 0.560 0.333 La
0.560 0.471 0.636 La
0.614 0.917 0.690 La
0.917 0.614 0.779 La
0.139 0.782 0.266 Zn
0.437 0.984 0.468 Zn
0.782 0.139 0.813 Zn
0.984 0.437 0.111 Zn
```

[7]
VASP calculation (GGA-PBE) on La3Zn2 after structural relaxation.

- Offset from the most stable computed form: 0 meV per atom
- Total energy: -37.2 eV per cell
- Crystal system: tetragonal
- Space-group type: No. 123

```
La3Zn2
1.0
3.769 0.000 0.000
0.000 3.769 0.000
0.000 0.000 20.204
La Zn
6 4
direct
0.000 0.000 0.000 La
0.000 0.000 0.185 La
0.000 0.000 0.370 La
0.000 0.000 0.630 La
0.000 0.000 0.815 La
0.500 0.500 0.500 La
0.500 0.500 0.092 Zn
0.500 0.500 0.279 Zn
0.500 0.500 0.721 Zn
0.500 0.500 0.908 Zn
```

[8]
VASP calculation (GGA-PBE) on LaZn2 after structural relaxation.

- Total energy: -33.1 eV per cell
- Crystal system: orthorhombic
- Space-group type: No. 62

```
LaZn2
1.0
6.439 0.000 0.000
0.000 4.832 0.000
0.000 0.000 8.934
La Zn
4 8
direct
0.190 0.250 0.082 La
0.310 0.750 0.582 La
0.690 0.250 0.418 La
0.810 0.750 0.918 La
0.015 0.250 0.712 Zn
0.159 0.250 0.415 Zn
0.341 0.750 0.915 Zn
0.485 0.750 0.212 Zn
0.515 0.250 0.788 Zn
0.659 0.250 0.085 Zn
0.841 0.750 0.585 Zn
0.985 0.750 0.288 Zn
```

[9]
VASP calculation (GGA-PBE) on La3Zn after structural relaxation.

- Total energy: -16.7 eV per cell
- Crystal system: tetragonal
- Space-group type: No. 123

```
La3Zn
1.0
3.775 0.000 0.000
0.000 3.775 0.000
0.000 0.000 8.894
La Zn
3 1
direct
0.000 0.000 0.000 La
0.500 0.500 0.292 La
0.500 0.500 0.708 La
0.000 0.000 0.500 Zn
```

[10]
VASP calculation (GGA-PBE) on LaZn2 after structural relaxation.

- Total energy: -15.7 eV per cell
- Crystal system: tetragonal
- Space-group type: No. 140

```
LaZn2
1.0
-2.595 2.595 5.243
2.595 -2.595 5.243
2.595 2.595 -5.243
La Zn
2 4
direct
0.250 0.250 0.000 La
0.750 0.750 0.000 La
0.170 0.670 0.839 Zn
0.330 0.170 0.500 Zn
0.670 0.830 0.500 Zn
0.830 0.330 0.161 Zn
```

[11]
VASP calculation (GGA-PBE) on La3Zn5 after structural relaxation.

- Offset from the most stable computed form: 0 meV per atom
- Total energy: -46.3 eV per cell
- Crystal system: triclinic
- Space-group type: No. 2

```
La3Zn5
1.0
6.190 0.000 0.000
1.665 7.815 0.000
2.736 -0.268 7.887
La Zn
6 10
direct
0.166 0.491 0.190 La
0.176 0.821 0.493 La
0.231 0.968 0.054 La
0.769 0.032 0.946 La
0.824 0.179 0.507 La
0.834 0.509 0.810 La
0.235 0.129 0.681 Zn
0.302 0.642 0.799 Zn
0.326 0.419 0.526 Zn
0.394 0.310 0.839 Zn
0.415 0.133 0.332 Zn
0.585 0.867 0.668 Zn
0.606 0.690 0.161 Zn
0.674 0.581 0.474 Zn
0.698 0.358 0.201 Zn
0.765 0.871 0.319 Zn
```

[12]
VASP calculation (GGA-PBE) on La5Zn4 after structural relaxation.

- Offset from the most stable computed form: 165 meV per atom
- Total energy: -30.1 eV per cell
- Crystal system: tetragonal
- Space-group type: No. 139

```
La5Zn4
1.0
-4.969 4.969 2.385
4.969 -4.969 2.385
4.969 4.969 -2.385
La Zn
5 4
direct
0.000 0.000 0.000 La
0.327 0.327 0.654 La
0.327 0.673 0.000 La
0.673 0.327 0.000 La
0.673 0.673 0.346 La
0.000 0.359 0.359 Zn
0.000 0.641 0.641 Zn
0.359 0.000 0.359 Zn
0.641 0.000 0.641 Zn
```

[13]
VASP calculation (GGA-PBE) on LaZn4 after structural relaxation.

- Total energy: -23.4 eV per cell
- Crystal system: orthorhombic
- Space-group type: No. 63

```
LaZn4
1.0
3.186 -5.125 0.000
3.186 5.125 0.000
0.000 0.000 6.074
La Zn
2 8
direct
0.230 0.770 0.750 La
0.770 0.230 0.250 La
0.105 0.895 0.250 Zn
0.286 0.286 0.000 Zn
0.286 0.286 0.500 Zn
0.348 0.652 0.250 Zn
0.652 0.348 0.750 Zn
0.714 0.714 0.000 Zn
0.714 0.714 0.500 Zn
0.895 0.105 0.750 Zn
```

[14]
VASP calculation (GGA-PBE) on La3Zn after structural relaxation.

- Total energy: -32.0 eV per cell
- Crystal system: cubic
- Space-group type: No. 223

```
La3Zn
1.0
6.323 0.000 0.000
0.000 6.323 0.000
0.000 0.000 6.323
La Zn
6 2
direct
0.000 0.250 0.500 La
0.000 0.750 0.500 La
0.250 0.500 0.000 La
0.500 0.000 0.250 La
0.500 0.000 0.750 La
0.750 0.500 0.000 La
0.000 0.000 0.000 Zn
0.500 0.500 0.500 Zn
```

[15]
VASP calculation (GGA-PBE) on LaZn after structural relaxation.

- Total energy: -53.2 eV per cell
- Crystal system: orthorhombic
- Space-group type: No. 62

```
LaZn
1.0
6.232 0.000 0.000
0.000 7.352 0.000
0.000 0.000 9.053
La Zn
8 8
direct
0.008 0.250 0.208 La
0.152 0.750 0.140 La
0.348 0.250 0.640 La
0.492 0.750 0.708 La
0.508 0.250 0.292 La
0.652 0.750 0.360 La
0.848 0.250 0.860 La
0.992 0.750 0.792 La
0.175 0.573 0.454 Zn
0.175 0.927 0.454 Zn
0.325 0.073 0.954 Zn
0.325 0.427 0.954 Zn
0.675 0.573 0.046 Zn
0.675 0.927 0.046 Zn
0.825 0.073 0.546 Zn
0.825 0.427 0.546 Zn
```

[16]
VASP calculation (GGA-PBE) on LaZn2 after structural relaxation.

- Total energy: -16.3 eV per cell
- Crystal system: orthorhombic
- Space-group type: No. 63

```
LaZn2
1.0
5.661 -2.524 0.000
5.661 2.524 0.000
0.000 0.000 4.518
La Zn
2 4
direct
0.210 0.790 0.750 La
0.790 0.210 0.250 La
0.149 0.451 0.250 Zn
0.451 0.149 0.750 Zn
0.549 0.851 0.250 Zn
0.851 0.549 0.750 Zn
```

[17]
VASP calculation (GGA-PBE) on LaZn after structural relaxation.

- Total energy: -6.4 eV per cell
- Crystal system: trigonal
- Space-group type: No. 166

```
LaZn
1.0
1.888 1.090 4.671
-1.888 1.090 4.671
0.000 -2.180 4.671
La Zn
1 1
direct
0.000 0.000 0.000 La
0.500 0.500 0.500 Zn
```

[18]
VASP calculation (GGA-PBE) on La5Zn after structural relaxation.

- Offset from the most stable computed form: 90 meV per atom
- Total energy: -26.0 eV per cell
- Crystal system: orthorhombic
- Space-group type: No. 65

```
La5Zn
1.0
2.484 -7.701 0.000
2.484 7.701 0.000
0.000 0.000 5.082
La Zn
5 1
direct
0.000 0.000 0.000 La
0.164 0.836 0.500 La
0.341 0.659 0.000 La
0.659 0.341 0.000 La
0.836 0.164 0.500 La
0.500 0.500 0.500 Zn
```

[19]
VASP calculation (GGA-PBE) on LaZn3 after structural relaxation.

- Total energy: -8.8 eV per cell
- Crystal system: hexagonal
- Space-group type: No. 187

```
LaZn3
1.0
3.841 0.000 0.000
-1.920 3.326 0.000
0.000 0.000 7.361
La Zn
1 3
direct
0.000 0.000 0.000 La
0.000 0.000 0.500 Zn
0.333 0.667 0.310 Zn
0.333 0.667 0.690 Zn
```

[20]
VASP calculation (GGA-PBE) on LaZn after structural relaxation.

- Total energy: -39.3 eV per cell
- Crystal system: trigonal
- Space-group type: No. 164

```
LaZn
1.0
5.149 0.000 0.000
-2.575 4.459 0.000
0.000 0.000 14.610
La Zn
6 6
direct
0.000 0.000 0.213 La
0.000 0.000 0.787 La
0.333 0.667 0.048 La
0.333 0.667 0.418 La
0.667 0.333 0.582 La
0.667 0.333 0.952 La
0.000 0.000 0.415 Zn
0.000 0.000 0.585 Zn
0.333 0.667 0.662 Zn
0.333 0.667 0.843 Zn
0.667 0.333 0.157 Zn
0.667 0.333 0.338 Zn
```

[21]
VASP calculation (GGA-PBE) on La2Zn after structural relaxation.

- Total energy: -11.3 eV per cell
- Crystal system: trigonal
- Space-group type: No. 164

```
La2Zn
1.0
3.761 0.000 0.000
-1.880 3.257 0.000
0.000 0.000 7.721
La Zn
2 1
direct
0.333 0.667 0.200 La
0.667 0.333 0.800 La
0.000 0.000 0.500 Zn
```

[22]
VASP calculation (GGA-PBE) on La5Zn after structural relaxation.

- Offset from the most stable computed form: 0 meV per atom
- Total energy: -26.5 eV per cell
- Crystal system: tetragonal
- Space-group type: No. 123

```
La5Zn
1.0
3.755 0.000 0.000
0.000 3.755 0.000
0.000 0.000 14.192
La Zn
5 1
direct
0.000 0.000 0.000 La
0.000 0.000 0.369 La
0.000 0.000 0.631 La
0.500 0.500 0.184 La
0.500 0.500 0.816 La
0.500 0.500 0.500 Zn
```

[23]
VASP calculation (GGA-PBE) on LaZn after structural relaxation.

- Total energy: -6.3 eV per cell
- Crystal system: hexagonal
- Space-group type: No. 187

```
LaZn
1.0
3.743 0.000 0.000
-1.872 3.242 0.000
0.000 0.000 4.720
La Zn
1 1
direct
0.000 0.000 0.000 La
0.333 0.667 0.500 Zn
```

[24]
VASP calculation (GGA-PBE) on LaZn4 after structural relaxation.

- Total energy: -5.4 eV per cell
- Crystal system: cubic
- Space-group type: No. 221

```
LaZn4
1.0
5.874 0.000 0.000
0.000 5.874 0.000
0.000 0.000 5.874
La Zn
1 4
direct
0.000 0.000 0.000 La
0.000 0.000 0.500 Zn
0.000 0.500 0.000 Zn
0.500 0.000 0.000 Zn
0.500 0.500 0.500 Zn
```

[25]
VASP calculation (GGA-PBE) on LaZn6 after structural relaxation.

- Offset from the most stable computed form: 333 meV per atom
- Total energy: -11.9 eV per cell
- Crystal system: cubic
- Space-group type: No. 229

```
LaZn6
1.0
-3.388 3.388 3.388
3.388 -3.388 3.388
3.388 3.388 -3.388
La Zn
1 6
direct
0.000 0.000 0.000 La
0.250 0.500 0.750 Zn
0.250 0.750 0.500 Zn
0.500 0.250 0.750 Zn
0.500 0.750 0.250 Zn
0.750 0.250 0.500 Zn
0.750 0.500 0.250 Zn
```